VASP calculation (PBE) on Pm5TlHg4 after structural relaxation.

a b c (Å): 3.809 3.809 19.342
angles (deg): 90.00 90.00 90.00
Site moments in Bohr magnetons follow the coordinates.
Positions (direct):
1 Tl 0.000 0.000 0.000  0.01
2 Hg 0.000 0.000 0.401  0.02
3 Hg 0.000 0.000 0.204  0.02
4 Hg 0.000 0.000 0.796  0.02
5 Hg 0.000 0.000 0.599  0.02
6 Pm 0.500 0.500 0.697  0.22
7 Pm 0.500 0.500 0.303  0.22
8 Pm 0.500 0.500 0.106  0.17
9 Pm 0.500 0.500 0.500  0.22
10 Pm 0.500 0.500 0.894  0.17

Space-group type: P4/mmm
Calculated volume in Å³/f.u.: 280.60
Formation enthalpy at 0 K in eV per atom: -0.45

VASP calculation (PBE) on MnZnAsPb2 after structural relaxation.

a b c (Å): 5.795 4.553 5.795
angles (deg): 90.00 90.00 90.00
Site moments in Bohr magnetons follow the coordinates.
Positions (direct):
1 As 0.000 0.000 0.000  0.01
2 Pb 0.000 0.000 0.500  -0.03
3 Pb 0.500 0.000 0.000  -0.05
4 Zn 0.000 0.500 0.000  0.00
5 Mn 0.500 0.500 0.500  4.35

Space-group type: P4/mmm
Calculated volume in Å³/f.u.: 152.93
Formation enthalpy at 0 K in eV per atom: 0.72

VASP calculation (PBE) on Nd6Sm2Tl after structural relaxation.

a b c (Å): 3.481 9.926 12.130
angles (deg): 114.15 124.78 90.00
Positions (direct):
1 Sm 0.666 0.666 0.333
2 Sm 0.334 0.334 0.667
3 Nd 0.500 0.677 0.000
4 Nd 0.161 0.999 0.327
5 Nd 0.839 0.001 0.673
6 Nd 0.500 0.323 0.000
7 Nd 0.161 0.328 0.327
8 Nd 0.839 0.672 0.673
9 Tl 0.000 0.000 0.000

Space-group type: C2/m
Calculated volume in Å³/f.u.: 298.44
Formation enthalpy at 0 K in eV per atom: 0.02
ΔE to the lowest computed polymorph in eV per atom: 0.0000

VASP calculation (PBE) on Zr2SbTe after structural relaxation.

a b c (Å): 3.862 3.862 7.978
angles (deg): 75.99 75.99 60.00
Positions (direct):
1 Zr 0.251 0.251 0.247
2 Zr 0.082 0.082 0.753
3 Sb 0.666 0.666 0.001
4 Te 0.500 0.500 0.499

Energy relative to the elements, uncorrected in eV per atom: -0.65
Space-group type: R3m
Calculated volume in Å³/f.u.: 98.92
ΔE to the lowest computed polymorph in eV per atom: 0.0981

VASP calculation (PBE) on LiTi2Al after structural relaxation.

a b c (Å): 7.243 7.243 5.698
angles (deg): 50.53 50.53 90.00
Positions (direct):
1 Ti 0.875 0.865 0.750
2 Ti 0.615 0.125 0.250
3 Ti 0.135 0.625 0.250
4 Ti 0.375 0.385 0.750
5 Li 0.500 0.500 0.000
6 Li 0.250 0.750 0.500
7 Al 0.750 0.250 0.500
8 Al 0.000 0.000 0.000

Space-group type: I-42d
Calculated volume in Å³/f.u.: 65.48
Formation enthalpy at 0 K in eV per atom: 0.29

VASP calculation (PBE) on Cs4ICl2F after structural relaxation.

a b c (Å): 10.129 10.129 9.896
angles (deg): 119.26 119.26 90.53
Site moments in Bohr magnetons follow the coordinates.
Positions (direct):
1 Cl 0.000 0.000 0.500  0.05
2 Cl 0.500 0.000 0.500  0.00
3 Cl 0.500 0.500 0.000  0.05
4 Cl 0.500 0.000 0.000  0.00
5 Cs 0.740 0.760 0.484  0.00
6 Cs 0.260 0.240 0.984  0.00
7 Cs 0.680 0.279 0.480  0.00
8 Cs 0.221 0.820 0.020  0.00
9 Cs 0.320 0.721 0.520  0.00
10 Cs 0.779 0.180 0.980  0.00
11 Cs 0.740 0.760 0.016  0.00
12 Cs 0.260 0.240 0.516  0.00
13 F 0.500 0.500 0.500  0.00
14 F 0.000 0.000 0.000  0.00
15 I 0.000 0.500 0.000  0.09
16 I 0.000 0.500 0.500  0.09

Energy relative to the elements, uncorrected in eV per atom: -1.97
Space-group type: Imma
Calculated volume in Å³/f.u.: 365.20

Repeat the fifth record exactly.
VASP calculation (PBE) on LiTi2Al after structural relaxation.

a b c (Å): 7.243 7.243 5.698
angles (deg): 50.53 50.53 90.00
Positions (direct):
1 Ti 0.875 0.865 0.750
2 Ti 0.615 0.125 0.250
3 Ti 0.135 0.625 0.250
4 Ti 0.375 0.385 0.750
5 Li 0.500 0.500 0.000
6 Li 0.250 0.750 0.500
7 Al 0.750 0.250 0.500
8 Al 0.000 0.000 0.000

Space-group type: I-42d
Calculated volume in Å³/f.u.: 65.48
Formation enthalpy at 0 K in eV per atom: 0.29

Question: The highest calculated volume belongs to which entry?
Answer: Cs4ICl2F

Question: Which value of calculated volume does entry 3 give?
Answer: 298.44 Å³/f.u.

Question: Number 3 is which compound?
Answer: Nd6Sm2Tl